The following is a DFT calculation (GGA-PBE) of a relaxed Pr3SmIn3 crystal. Values from VASP.

## Properties
As for the formation enthalpy at 0 K: -27.36 kJ/mol of atoms. The calculation puts the energy above the lowest structure with this stoichiometry at 38 kJ/mol of formula units. The symmetry is Cmmm, No. 65.

Structure (Quantum ESPRESSO input):
```
&SYSTEM
  ibrav = 0, nat = 14, ntyp = 3
/
ATOMIC_SPECIES
Pr 140.91 Pr.upf
Sm 150.36 Sm.upf
In 114.82 In.upf
CELL_PARAMETERS angstrom
-2.647 4.142 4.399
0.021 -6.340 1.821
9.841 1.365 4.639
ATOMIC_POSITIONS angstrom
Pr 1.862 -0.658 4.603
Pr 4.481 -3.846 4.586
Pr 2.735 3.013 6.273
Pr -0.590 -3.940 2.411
Pr -2.036 1.742 3.808
Pr 5.353 -0.176 6.256
Sm -1.903 -1.595 4.515
Sm 9.119 0.762 6.344
In 2.430 0.337 1.147
In 7.347 -2.151 4.371
In 6.014 3.086 5.659
In -0.132 1.318 6.488
In 1.201 -3.919 5.200
In 4.785 -1.170 9.712
```

The following is a DFT calculation (GGA-PBE) of a relaxed Pr6Sm3In crystal. Values from VASP.

## Properties
As for the formation enthalpy at 0 K: -0.51 kJ/mol of atoms. The calculation puts the energy above the lowest structure with this stoichiometry at 0 kJ/mol of formula units. The symmetry is P2_1/m, No. 11.

Structure (Quantum ESPRESSO input):
```
&SYSTEM
  ibrav = 0, nat = 20, ntyp = 3
/
ATOMIC_SPECIES
Pr 140.91 Pr.upf
Sm 150.36 Sm.upf
In 114.82 In.upf
CELL_PARAMETERS angstrom
-1.972 -0.891 -2.962
9.925 2.521 -7.365
3.676 -14.509 1.915
ATOMIC_POSITIONS angstrom
Pr 5.284 -7.152 -2.503
Pr 6.345 -5.726 -5.910
Pr 11.990 -12.451 -5.375
Pr -0.361 -0.428 -3.038
Pr 9.811 -7.018 -5.557
Pr 1.818 -5.861 -2.855
Pr 7.333 -2.044 -5.403
Pr 4.296 -10.835 -3.010
Pr 8.352 -11.797 -3.149
Pr 3.277 -1.082 -5.264
Pr 2.237 -2.375 -1.911
Pr 9.392 -10.504 -6.502
Sm 2.649 -8.403 -0.373
Sm 8.980 -4.475 -8.040
Sm 4.917 -3.743 -3.284
Sm 6.712 -9.135 -5.129
Sm 2.996 -11.731 0.397
Sm 8.633 -1.148 -8.810
In 6.018 -13.127 -1.196
In 5.611 0.248 -7.217
```

The following is a DFT calculation (GGA-PBE) of a relaxed PrSm2In crystal. Values from VASP.

## Properties
As for the formation enthalpy at 0 K: -11.15 kJ/mol of atoms. The calculation puts the energy above the lowest structure with this stoichiometry at 60 kJ/mol of formula units. The symmetry is Fm-3m, No. 225.

Structure (Quantum ESPRESSO input):
```
&SYSTEM
  ibrav = 0, nat = 4, ntyp = 3
/
ATOMIC_SPECIES
Pr 140.91 Pr.upf
Sm 150.36 Sm.upf
In 114.82 In.upf
CELL_PARAMETERS angstrom
5.583 0.000 0.000
2.791 4.835 0.000
2.791 1.612 4.558
ATOMIC_POSITIONS angstrom
Pr 0.000 0.000 0.000
Sm 2.791 1.612 1.140
Sm 8.374 4.835 3.419
In 5.583 3.223 2.279
```

The following is a DFT calculation (GGA-PBE) of a relaxed Pr4Sm3In crystal. Values from VASP.

## Properties
As for the formation enthalpy at 0 K: -9.51 kJ/mol of atoms. The calculation puts the energy above the lowest structure with this stoichiometry at 0 kJ/mol of formula units. The symmetry is Pmn2_1, No. 31.

Structure (Quantum ESPRESSO input):
```
&SYSTEM
  ibrav = 0, nat = 16, ntyp = 3
/
ATOMIC_SPECIES
Pr 140.91 Pr.upf
Sm 150.36 Sm.upf
In 114.82 In.upf
CELL_PARAMETERS angstrom
6.317 0.000 0.000
0.000 7.278 0.000
0.000 0.000 11.548
ATOMIC_POSITIONS angstrom
Pr 1.100 4.576 0.000
Pr 3.925 2.676 0.000
Pr 6.243 2.654 2.643
Pr 3.084 4.624 3.131
Pr 0.766 4.602 5.774
Pr 4.259 2.702 5.774
Pr 3.084 4.624 8.417
Pr 6.243 2.654 8.905
Sm 4.100 6.370 0.000
Sm 6.138 6.446 2.832
Sm 2.980 0.832 2.942
Sm 0.942 0.908 5.774
Sm 2.980 0.832 8.607
Sm 6.138 6.446 8.716
In 0.954 0.798 0.000
In 4.113 6.480 5.774
```

Calculated values (μB per cell) of total moment for the records, taken in order: 1.407; 0.002; 1.350; 0.001.